[1]
DFT (GGA-PBE) results for a geometry-optimized Y9Er11Tm4 structure.

Cell: 15.0035 15.0035 3.6358 Å, 90.00 90.00 112.95°
Last column: nearest neighbours and their distance in Å.
Fractional coordinates of all 24 atoms:
Y1 0.0000 0.0000 0.0000  4 Tm 3.60, 2 Y 3.64, 8 Er 3.77-3.88
Y2 0.1307 0.6637 0.0000  3 Y 3.41-3.64, 1 Tm 3.42, 8 Er 3.48-3.66
Y3 0.2850 0.4305 0.0000  1 Tm 3.44, 8 Er 3.49-3.68, 3 Y 3.64
Y4 0.3363 0.8693 0.0000  3 Y 3.41-3.64, 1 Tm 3.42, 8 Er 3.48-3.66
Y5 0.4305 0.2850 0.0000  1 Tm 3.44, 8 Er 3.49-3.68, 3 Y 3.64
Y6 0.5695 0.7150 0.0000  1 Tm 3.44, 8 Er 3.49-3.68, 3 Y 3.64
Y7 0.6637 0.1307 0.0000  3 Y 3.41-3.64, 1 Tm 3.42, 8 Er 3.48-3.66
Y8 0.7150 0.5695 0.0000  1 Tm 3.44, 8 Er 3.49-3.68, 3 Y 3.64
Y9 0.8693 0.3363 0.0000  3 Y 3.41-3.64, 1 Tm 3.42, 8 Er 3.48-3.66
Er1 0.0930 0.4546 0.5000  2 Tm 3.34, 6 Y 3.48-3.62, 3 Er 3.55-3.64
Er2 0.1322 0.8678 0.5000  4 Tm 3.24, 4 Y 3.55
Er3 0.2069 0.2069 0.5000  4 Tm 3.23, 4 Y 3.59
Er4 0.3406 0.6594 0.5000  5 Er 3.64-3.99, 8 Y 3.66-3.68
Er5 0.4546 0.0930 0.5000  2 Tm 3.34, 6 Y 3.48-3.62, 3 Er 3.55-3.64
Er6 0.5000 0.5000 0.5000  8 Y 3.49, 2 Er 3.64
Er7 0.5454 0.9070 0.5000  2 Tm 3.34, 6 Y 3.48-3.62, 3 Er 3.55-3.64
Er8 0.6594 0.3406 0.5000  5 Er 3.64-3.99, 8 Y 3.66-3.68
Er9 0.7931 0.7931 0.5000  4 Tm 3.23, 4 Y 3.59
Er10 0.8678 0.1322 0.5000  4 Tm 3.24, 4 Y 3.55
Er11 0.9070 0.5454 0.5000  2 Tm 3.34, 6 Y 3.48-3.62, 3 Er 3.55-3.64
Tm1 0.0538 0.2558 0.0000  6 Er 3.23-3.34, 3 Y 3.42-3.60
Tm2 0.2558 0.0538 0.0000  6 Er 3.23-3.34, 3 Y 3.42-3.60
Tm3 0.7442 0.9462 0.0000  6 Er 3.23-3.34, 3 Y 3.42-3.60
Tm4 0.9462 0.7442 0.0000  6 Er 3.23-3.34, 3 Y 3.42-3.60

Computed properties:
Space group   Cmmm, No. 65
Uncorrected energy   -125.2 eV/cell
DOS(E_F)   30.71 states/eV per cell

[2]
DFT (GGA-PBE) results for a geometry-optimized Y2Er12Tm5 structure.

Cell: 6.0772 9.2875 11.0817 Å, 83.12 79.44 70.96°
Last column: nearest neighbours and their distance in Å.
Fractional coordinates of all 19 atoms:
Y1 0.2366 0.4735 0.0798  8 Er 3.51-3.54, 2 Y 3.52, 2 Tm 3.52-3.53
Y2 0.7634 0.5265 0.9202  8 Er 3.51-3.54, 2 Y 3.52, 2 Tm 3.52-3.53
Er1 0.0267 0.0529 0.3425  7 Er 3.50-3.51, 5 Tm 3.50-3.51
Er2 0.1322 0.2621 0.7102  7 Er 3.49-3.53, 4 Tm 3.50-3.51, 1 Y 3.51
Er3 0.1844 0.3680 0.3962  7 Er 3.49-3.53, 4 Tm 3.50-3.51, 1 Y 3.51
Er4 0.2897 0.5794 0.7611  3 Tm 3.49-3.52, 6 Er 3.50-3.53, 3 Y 3.51-3.54
Er5 0.3951 0.7908 0.1321  6 Er 3.49-3.53, 4 Tm 3.50-3.52, 2 Y 3.52
Er6 0.4464 0.8952 0.8154  7 Er 3.49-3.52, 4 Tm 3.50-3.52, 1 Y 3.51
Er7 0.5536 0.1048 0.1846  7 Er 3.49-3.52, 4 Tm 3.50-3.52, 1 Y 3.51
Er8 0.6049 0.2092 0.8679  6 Er 3.49-3.53, 4 Tm 3.50-3.52, 2 Y 3.52
Er9 0.7103 0.4206 0.2389  3 Tm 3.49-3.52, 6 Er 3.50-3.53, 3 Y 3.51-3.54
Er10 0.8156 0.6320 0.6038  7 Er 3.49-3.53, 4 Tm 3.50-3.51, 1 Y 3.51
Er11 0.8678 0.7379 0.2898  7 Er 3.49-3.53, 4 Tm 3.50-3.51, 1 Y 3.51
Er12 0.9733 0.9471 0.6575  7 Er 3.50-3.51, 5 Tm 3.50-3.51
Tm1 0.0785 0.1567 0.0267  1 Tm 3.49, 9 Er 3.50-3.52, 2 Y 3.52-3.53
Tm2 0.3418 0.6846 0.4469  10 Er 3.49-3.51, 2 Tm 3.51-3.52
Tm3 0.5000 0.0000 0.5000  10 Er 3.50-3.51, 2 Tm 3.51
Tm4 0.6582 0.3154 0.5531  10 Er 3.49-3.51, 2 Tm 3.51-3.52
Tm5 0.9215 0.8433 0.9733  1 Tm 3.49, 9 Er 3.50-3.52, 2 Y 3.52-3.53

Computed properties:
Offset from the most stable computed form   0 meV per atom
Space group   P-1, No. 2
Uncorrected energy   -89.5 eV/cell
DOS(E_F)   27.04 states/eV per cell

[3]
DFT (GGA-PBE) results for a geometry-optimized Y5Er12Tm structure.

Cell: 10.5796 10.5796 4.9758 Å, 90.00 90.00 90.12°
Last column: nearest neighbours and their distance in Å.
Fractional coordinates of all 18 atoms:
Y1 0.0000 0.0000 0.0000  4 Y 3.52, 8 Er 3.54
Y2 0.1666 0.8334 0.5000  4 Y 3.52-3.53, 8 Er 3.54
Y3 0.3342 0.6658 0.0000  2 Tm 3.52, 8 Er 3.52-3.55, 2 Y 3.53
Y4 0.6658 0.3342 0.0000  2 Tm 3.52, 8 Er 3.52-3.55, 2 Y 3.53
Y5 0.8334 0.1666 0.5000  4 Y 3.52-3.53, 8 Er 3.54
Er1 0.0014 0.3349 0.0000  8 Er 3.49-3.53, 4 Y 3.54-3.55
Er2 0.1663 0.4987 0.5000  8 Er 3.50-3.53, 3 Y 3.53-3.54, 1 Tm 3.53
Er3 0.1681 0.1681 0.5000  8 Er 3.50-3.53, 4 Y 3.54
Er4 0.3329 0.3329 0.0000  8 Er 3.50-3.52, 2 Y 3.52, 2 Tm 3.53
Er5 0.3349 0.0014 0.0000  8 Er 3.49-3.53, 4 Y 3.54-3.55
Er6 0.4987 0.1663 0.5000  8 Er 3.50-3.53, 3 Y 3.53-3.54, 1 Tm 3.53
Er7 0.5013 0.8337 0.5000  8 Er 3.50-3.53, 3 Y 3.53-3.54, 1 Tm 3.53
Er8 0.6651 0.9986 0.0000  8 Er 3.49-3.53, 4 Y 3.54-3.55
Er9 0.6671 0.6671 0.0000  8 Er 3.50-3.52, 2 Y 3.52, 2 Tm 3.53
Er10 0.8319 0.8319 0.5000  8 Er 3.50-3.53, 4 Y 3.54
Er11 0.8337 0.5013 0.5000  8 Er 3.50-3.53, 3 Y 3.53-3.54, 1 Tm 3.53
Er12 0.9986 0.6651 0.0000  8 Er 3.49-3.53, 4 Y 3.54-3.55
Tm1 0.5000 0.5000 0.5000  4 Y 3.52, 8 Er 3.53

Computed properties:
Space group   Cmmm, No. 65
Uncorrected energy   -91.1 eV/cell
DOS(E_F)   25.74 states/eV per cell